A relaxed Ta3FeF crystal. Source: the Alexandria database, functional PBE with a Hubbard U.

It has space group Pm-3m (No. 221), with a = 4.570 Å, b = 4.570 Å, c = 4.570 Å, α = 90.00°, β = 90.00° and γ = 90.00°. Symmetry generates all atoms from Ta at (0.000, 0.000, 0.500), Fe at (0.000, 0.000, 0.000) and F at (0.500, 0.500, 0.500).

As for the density of states at the Fermi level: 0.762 states/eV/atom. For the total energy, the calculation gives -0.2670 hartree per atom. As for the volume: 19.09 Å³ per atom.